Compound: VNi4Pt
Source: Alexandria via LeMat-Bulk
Functional: PBE
Structure: optimized geometry

Calculated values
- ΔE_f (eV per formula unit) = -1.32
- density (Mg/m³) = 11.1
- polymorph energy (0 for the lowest one) (meV per atom) = 0.0

a = 3.601 Å, b = 7.285 Å, c = 5.783 Å
α = 108.48°, β = 90.00°, γ = 90.00°
Fractional positions:
Ni 0.250 0.877 0.001
Ni 0.750 0.965 0.326
Ni 0.750 0.451 0.330
Ni 0.250 0.549 0.670
Ni 0.250 0.035 0.674
Ni 0.250 0.372 0.010
Ni 0.750 0.123 0.999
Ni 0.750 0.628 0.990
V 0.750 0.797 0.676
V 0.250 0.203 0.324
Pt 0.750 0.292 0.666
Pt 0.250 0.708 0.334

***

Compound: V2Ni4Pt5
Source: Alexandria via LeMat-Bulk
Functional: PBE
Structure: optimized geometry

Calculated values
- ΔE_f (eV per formula unit) = -3.09
- density (Mg/m³) = 14.6

a = 4.620 Å, b = 6.028 Å, c = 6.515 Å
α = 68.66°, β = 62.29°, γ = 82.12°
Fractional positions:
V 0.857 0.100 0.189
V 0.143 0.900 0.811
Ni 0.412 0.726 0.450
Ni 0.048 0.644 0.268
Ni 0.952 0.356 0.732
Ni 0.588 0.274 0.550
Pt 0.776 0.822 0.620
Pt 0.685 0.540 0.104
Pt 0.225 0.178 0.380
Pt 0.315 0.460 0.896
Pt 0.500 0.000 0.000

***

Compound: V2Ni4Pt3
Source: Alexandria via LeMat-Bulk
Functional: PBE
Structure: optimized geometry

Calculated values
- ΔE_f (eV per formula unit) = -2.85
- density (Mg/m³) = 13.1
- polymorph energy (0 for the lowest one) (meV per atom) = 32.7

a = 4.516 Å, b = 4.596 Å, c = 8.250 Å
α = 57.12°, β = 58.23°, γ = 60.50°
Fractional positions:
Pt 0.437 0.792 0.334
Pt 0.563 0.208 0.666
Pt 0.000 0.000 0.000
Ni 0.882 0.561 0.659
Ni 0.324 0.345 0.003
Ni 0.676 0.655 0.997
Ni 0.118 0.439 0.341
V 0.206 0.872 0.676
V 0.794 0.128 0.324

***

Compound: VNiPt6
Source: Alexandria via LeMat-Bulk
Functional: PBE
Structure: optimized geometry

Calculated values
- ΔE_f (eV per formula unit) = -2.43
- density (Mg/m³) = 17.9

a = 3.903 Å, b = 3.903 Å, c = 7.774 Å
α = 90.00°, β = 90.00°, γ = 90.00°
Last column: magnetic moment on the atom in μB.
Fractional positions:
Pt 0.500 0.000 0.747  0.13
Pt 0.000 0.500 0.253  0.13
Pt 0.500 0.500 0.000  0.22
Pt 0.500 0.000 0.253  0.13
Pt 0.000 0.500 0.747  0.13
Pt 0.500 0.500 0.500  0.11
V 0.000 0.000 0.500  -0.42
Ni 0.000 0.000 0.000  0.69

***

Compound: V2Ni4Pt3
Source: Alexandria via LeMat-Bulk
Functional: PBE
Structure: optimized geometry

Calculated values
- ΔE_f (eV per formula unit) = -3.15
- density (Mg/m³) = 13.1
- polymorph energy (0 for the lowest one) (meV per atom) = 0.0

a = 3.699 Å, b = 4.567 Å, c = 7.935 Å
α = 73.92°, β = 76.52°, γ = 66.11°
Fractional positions:
Ni 0.668 0.560 0.104
Ni 0.332 0.440 0.896
Ni 0.995 0.329 0.681
Ni 0.005 0.671 0.319
V 0.331 0.116 0.223
V 0.669 0.884 0.777
Pt 0.331 0.771 0.567
Pt 0.000 0.000 0.000
Pt 0.669 0.229 0.433

***

Compound: V5Ni4Pt
Source: Alexandria via LeMat-Bulk
Functional: PBE
Structure: optimized geometry

Calculated values
- ΔE_f (eV per formula unit) = -2.39
- density (Mg/m³) = 9.1

a = 2.582 Å, b = 2.582 Å, c = 18.718 Å
α = 90.00°, β = 90.00°, γ = 90.00°
Fractional positions:
Ni 0.000 0.000 0.206
Ni 0.000 0.000 0.794
Ni 0.000 0.000 0.598
Ni 0.000 0.000 0.402
V 0.500 0.500 0.109
V 0.500 0.500 0.891
V 0.500 0.500 0.304
V 0.500 0.500 0.696
V 0.500 0.500 0.500
Pt 0.000 0.000 0.000

***

Compound: VNi5Pt6
Source: Alexandria via LeMat-Bulk
Functional: PBE
Structure: optimized geometry

Calculated values
- ΔE_f (eV per formula unit) = -2.89
- density (Mg/m³) = 15.5
- polymorph energy (0 for the lowest one) (meV per atom) = 4.4

a = 3.844 Å, b = 7.331 Å, c = 7.100 Å
α = 121.08°, β = 105.71°, γ = 90.00°
Last column: magnetic moment on the atom in μB.
Fractional positions:
Ni 0.662 0.162 0.325  0.54
Ni 0.664 0.664 0.329  0.67
Ni 0.336 0.336 0.671  0.67
Ni 0.338 0.838 0.675  0.54
Ni 0.000 0.500 0.000  0.70
Pt 0.167 0.918 0.334  0.21
Pt 0.500 0.752 0.000  0.18
Pt 0.833 0.082 0.666  0.21
Pt 0.167 0.416 0.334  0.21
Pt 0.833 0.584 0.666  0.21
Pt 0.500 0.248 0.000  0.18
V 0.000 0.000 0.000  -0.33

***

Compound: VNiPtW
Source: Alexandria via LeMat-Bulk
Functional: PBE
Structure: optimized geometry

Calculated values
- ΔE_f (eV per formula unit) = -0.36
- density (Mg/m³) = 14.6

a = 4.286 Å, b = 4.286 Å, c = 4.286 Å
α = 60.00°, β = 60.00°, γ = 60.00°
Fractional positions:
W 0.500 0.500 0.500
V 0.750 0.750 0.750
Pt 0.000 0.000 0.000
Ni 0.250 0.250 0.250